Ac2NdYAs4 | PBE | relaxed

For the calculated formation energy, the calculation gives -1480 meV per atom. The calculated total energy is -6.236 eV per atom. The density of states at the Fermi level is 0.66 states/eV per cell.

abc: 7.5749 4.3775 7.5856
angles: 90.00 109.43 90.00
Space group P2/m (No. 10)
Unique sites:
Ac 0.0000 0.0000 0.0000 [1 per cell]
Ac 0.5000 0.5000 0.0000 [1 per cell]
Nd 0.0000 0.5000 0.5000 [1 per cell]
Y 0.5000 0.0000 0.5000 [1 per cell]
As 0.2482 0.0000 0.7331 [2 per cell]
As 0.2601 0.5000 0.2692 [2 per cell]